Entry 1:
First-principles (PBE-GGA) data for a geometry-optimized Zr3Te structure, as listed in the Alexandria database.

```
data_Zr3Te
_cell_length_a 3.637
_cell_length_b 9.613
_cell_length_c 5.218
_cell_angle_alpha 90.00
_cell_angle_beta 90.00
_cell_angle_gamma 90.00
_space_group_name_H-M_alt 'I m m 2'
_space_group_IT_number 44
_space_group_name_Hall 'I 2 -2'
loop_
_atom_site_label
_atom_site_type_symbol
_atom_site_fract_x
_atom_site_fract_y
_atom_site_fract_z
Zr1 Zr 0.000 0.000 0.000
Zr2 Zr 0.000 0.241 0.381
Te1 Te 0.000 0.500 0.024
```

* uncorrected formation energy: -0.35 eV/atom
* magnetic moment: 0.00 μB/atom

Entry 2:
First-principles (PBE-GGA) data for a geometry-optimized Pr8HgRu2 structure, as listed in the Alexandria database.

```
data_Pr8HgRu2
_cell_length_a 8.767
_cell_length_b 13.845
_cell_length_c 5.808
_cell_angle_alpha 90.00
_cell_angle_beta 105.29
_cell_angle_gamma 90.00
_space_group_name_H-M_alt 'C 1 2/m 1'
_space_group_IT_number 12
_space_group_name_Hall '-C 2y'
loop_
_atom_site_label
_atom_site_type_symbol
_atom_site_fract_x
_atom_site_fract_y
_atom_site_fract_z
Pr1 Pr 0.000 0.244 0.000
Pr2 Pr 0.107 0.500 0.805
Pr3 Pr 0.206 0.127 0.560
Hg1 Hg 0.000 0.000 0.000
Ru1 Ru 0.000 0.294 0.500
```

* energy relative to the elements: -0.110 eV/atom
* magnetic moment: 0.00 μB/atom

Entry 3:
First-principles (PBE-GGA) data for a geometry-optimized CoRe2Te structure, as listed in the Alexandria database.

```
data_CoRe2Te
_cell_length_a 3.782
_cell_length_b 3.782
_cell_length_c 4.312
_cell_angle_alpha 90.00
_cell_angle_beta 90.00
_cell_angle_gamma 90.00
_space_group_name_H-M_alt 'P 4/m m m'
_space_group_IT_number 123
_space_group_name_Hall '-P 4 2'
loop_
_atom_site_label
_atom_site_type_symbol
_atom_site_fract_x
_atom_site_fract_y
_atom_site_fract_z
Co1 Co 0.000 0.000 0.000
Re1 Re 0.000 0.500 0.500
Te1 Te 0.500 0.500 0.000
```

* uncorrected formation energy: 0.78 eV/atom
* magnetic moment: 0.00 μB/atom

Entry 4:
First-principles (PBE-GGA) data for a geometry-optimized MgBeHg2 structure, as listed in the Alexandria database.

```
data_MgBeHg2
_cell_length_a 3.5102
_cell_length_b 3.5102
_cell_length_c 22.5397
_cell_angle_alpha 90.00
_cell_angle_beta 90.00
_cell_angle_gamma 120.00
_space_group_name_H-M_alt 'R -3 m'
_space_group_IT_number 166
_space_group_name_Hall '-R 3 2"'
loop_
_atom_site_label
_atom_site_type_symbol
_atom_site_fract_x
_atom_site_fract_y
_atom_site_fract_z
Mg1 Mg 0.0000 0.0000 0.0000
Be1 Be 0.0000 0.0000 0.5000
Hg1 Hg 0.0000 0.0000 0.2372
```

* energy relative to the elements: 0.201 eV/atom
* magnetic moment: 0.00 μB/atom

Entry 5:
First-principles (PBE-GGA) data for a geometry-optimized Li4BiAu5 structure, as listed in the Alexandria database.

```
data_Li4BiAu5
_cell_length_a 3.303
_cell_length_b 3.303
_cell_length_c 15.790
_cell_angle_alpha 90.00
_cell_angle_beta 90.00
_cell_angle_gamma 90.00
_space_group_name_H-M_alt 'P 4/m m m'
_space_group_IT_number 123
_space_group_name_Hall '-P 4 2'
loop_
_atom_site_label
_atom_site_type_symbol
_atom_site_fract_x
_atom_site_fract_y
_atom_site_fract_z
Li1 Li 0.000 0.000 0.092
Li2 Li 0.000 0.000 0.276
Bi1 Bi 0.000 0.000 0.500
Au1 Au 0.500 0.500 0.000
Au2 Au 0.500 0.500 0.181
Au3 Au 0.500 0.500 0.361
```

* energy relative to the elements: -0.429 eV/atom
* magnetic moment: 0.00 μB/atom

Entry 6:
First-principles (PBE-GGA) data for a geometry-optimized CsSc2MnTe4 structure, as listed in the Alexandria database.

```
data_CsSc2MnTe4
_cell_length_a 4.314
_cell_length_b 15.472
_cell_length_c 15.139
_cell_angle_alpha 90.00
_cell_angle_beta 90.00
_cell_angle_gamma 90.00
_space_group_name_H-M_alt 'C m c m'
_space_group_IT_number 63
_space_group_name_Hall '-C 2c 2'
loop_
_atom_site_label
_atom_site_type_symbol
_atom_site_fract_x
_atom_site_fract_y
_atom_site_fract_z
Cs1 Cs 0.000 0.117 0.250
Sc1 Sc 0.000 0.374 0.064
Mn1 Mn 0.000 0.169 0.750
Te1 Te 0.000 0.000 0.000
Te2 Te 0.000 0.253 0.598
Te3 Te 0.000 0.432 0.250
```

* uncorrected formation energy: -0.90 eV/atom
* magnetic moment: 0.51 μB/atom

Entry 7:
First-principles (PBE-GGA) data for a geometry-optimized Cd2TcSe structure, as listed in the Alexandria database.

```
data_Cd2TcSe
_cell_length_a 7.926
_cell_length_b 7.926
_cell_length_c 5.453
_cell_angle_alpha 90.00
_cell_angle_beta 90.00
_cell_angle_gamma 90.00
_space_group_name_H-M_alt 'I -4 2 d'
_space_group_IT_number 122
_space_group_name_Hall 'I -4 2bw'
loop_
_atom_site_label
_atom_site_type_symbol
_atom_site_fract_x
_atom_site_fract_y
_atom_site_fract_z
Cd1 Cd 0.244 0.250 0.125
Tc1 Tc 0.000 0.000 0.500
Se1 Se 0.000 0.000 0.000
```

* uncorrected formation energy: 0.54 eV/atom
* magnetic moment: 0.71 μB/atom

Entry 8:
First-principles (PBE-GGA) data for a geometry-optimized K2NaIrN structure, as listed in the Alexandria database.

```
data_K2NaIrN
_cell_length_a 6.116
_cell_length_b 6.116
_cell_length_c 3.732
_cell_angle_alpha 90.00
_cell_angle_beta 90.00
_cell_angle_gamma 90.00
_space_group_name_H-M_alt 'P 4/m m m'
_space_group_IT_number 123
_space_group_name_Hall '-P 4 2'
loop_
_atom_site_label
_atom_site_type_symbol
_atom_site_fract_x
_atom_site_fract_y
_atom_site_fract_z
K1 K 0.000 0.500 0.000
Na1 Na 0.000 0.000 0.500
Ir1 Ir 0.500 0.500 0.500
N1 N 0.500 0.500 0.000
```

* uncorrected formation energy: 0.03 eV/atom
* magnetic moment: 0.00 μB/atom

Entry 9:
First-principles (PBE-GGA) data for a geometry-optimized LiB2C2 structure, as listed in the Alexandria database.

```
data_LiB2C2
_cell_length_a 8.637
_cell_length_b 2.729
_cell_length_c 9.115
_cell_angle_alpha 90.00
_cell_angle_beta 117.65
_cell_angle_gamma 90.00
_space_group_name_H-M_alt 'P 1 2/m 1'
_space_group_IT_number 10
_space_group_name_Hall '-P 2y'
loop_
_atom_site_label
_atom_site_type_symbol
_atom_site_fract_x
_atom_site_fract_y
_atom_site_fract_z
Li1 Li 0.000 0.000 0.000
Li2 Li 0.215 0.000 0.735
Li3 Li 0.500 0.500 0.000
B1 B 0.016 0.500 0.790
B2 B 0.200 0.000 0.474
B3 B 0.293 0.000 0.029
B4 B 0.450 0.500 0.720
C1 C 0.060 0.000 0.285
C2 C 0.204 0.500 0.949
C3 C 0.269 0.500 0.559
C4 C 0.469 0.000 0.194
```

* energy relative to the elements: -0.017 eV/atom
* magnetic moment: 0.00 μB/atom

Entry 10:
First-principles (PBE-GGA) data for a geometry-optimized Sc4TcRh3 structure, as listed in the Alexandria database.

```
data_Sc4TcRh3
_cell_length_a 3.227
_cell_length_b 3.227
_cell_length_c 12.983
_cell_angle_alpha 90.00
_cell_angle_beta 90.00
_cell_angle_gamma 90.00
_space_group_name_H-M_alt 'P 4/m m m'
_space_group_IT_number 123
_space_group_name_Hall '-P 4 2'
loop_
_atom_site_label
_atom_site_type_symbol
_atom_site_fract_x
_atom_site_fract_y
_atom_site_fract_z
Sc1 Sc 0.000 0.000 0.123
Sc2 Sc 0.000 0.000 0.375
Tc1 Tc 0.500 0.500 0.000
Rh1 Rh 0.500 0.500 0.254
Rh2 Rh 0.500 0.500 0.500
```

* energy relative to the elements: -0.791 eV/atom
* magnetic moment: 0.00 μB/atom

Entry 11:
First-principles (PBE-GGA) data for a geometry-optimized TaHCl2 structure, as listed in the Alexandria database.

```
data_TaHCl2
_cell_length_a 5.269
_cell_length_b 5.269
_cell_length_c 8.945
_cell_angle_alpha 90.00
_cell_angle_beta 90.00
_cell_angle_gamma 90.00
_space_group_name_H-M_alt 'I -4 2 d'
_space_group_IT_number 122
_space_group_name_Hall 'I -4 2bw'
loop_
_atom_site_label
_atom_site_type_symbol
_atom_site_fract_x
_atom_site_fract_y
_atom_site_fract_z
Ta1 Ta 0.000 0.000 0.000
H1 H 0.000 0.000 0.500
Cl1 Cl 0.178 0.250 0.625
```

* total DFT energy (no corrections): -4.244 eV per atom
* magnetic moment: 0.00 μB/atom

Entry 12:
First-principles (PBE-GGA) data for a geometry-optimized Li5Er4Tl6 structure, as listed in the Alexandria database.

```
data_Li5Er4Tl6
_cell_length_a 4.776
_cell_length_b 23.446
_cell_length_c 12.932
_cell_angle_alpha 90.00
_cell_angle_beta 90.00
_cell_angle_gamma 90.00
_space_group_name_H-M_alt 'C m c 21'
_space_group_IT_number 36
_space_group_name_Hall 'C 2c -2'
loop_
_atom_site_label
_atom_site_type_symbol
_atom_site_fract_x
_atom_site_fract_y
_atom_site_fract_z
Li1 Li 0.000 0.026 0.000
Li2 Li 0.000 0.158 0.950
Li3 Li 0.000 0.168 0.340
Li4 Li 0.000 0.222 0.571
Li5 Li 0.000 0.328 0.005
Er1 Er 0.000 0.333 0.264
Er2 Er 0.000 0.364 0.645
Er3 Er 0.000 0.442 0.878
Er4 Er 0.000 0.479 0.140
Tl1 Tl 0.000 0.062 0.217
Tl2 Tl 0.000 0.072 0.777
Tl3 Tl 0.000 0.099 0.530
Tl4 Tl 0.000 0.223 0.132
Tl5 Tl 0.000 0.259 0.812
Tl6 Tl 0.000 0.425 0.437
```

* energy relative to the elements: -0.233 eV/atom
* magnetic moment: 0.00 μB/atom

- Which of these has the highest magnetic moment?
  Cd2TcSe

- Which value of magnetic moment does entry 11 give?
  0.00 μB/atom